A relaxed CdNiMo2 crystal, computed with PBE-GGA.

Output
volume: 62.4 Å³/cell
DFT formation energy: 0.207 eV per atom
SG: P4mm (99)

a = 2.7323 Å, b = 2.7323 Å, c = 8.3631 Å
α = 90.00°, β = 90.00°, γ = 90.00°
Fractional coordinates of all 4 atoms:
Cd1 0.5000 0.5000 0.7269
Mo1 0.0000 0.0000 0.0089
Mo2 0.5000 0.5000 0.2805
Ni1 0.0000 0.0000 0.4837